(1)
This record from Alexandria via LeMat-Bulk describes a crystal of Ho2Al relaxed with PBEsol. The functional is SCAN.

a b c (Å): 5.0131 6.4082 9.2876
angles (deg): 90.00 90.00 90.00
Closest atoms and distances in Å follow each position.
Sites, in units of the cell vectors:
Al1 0.2500 0.7928 0.3977  8 Ho 3.02-3.33
Ho1 0.7500 0.5275 0.2110  3 Al 3.09-3.13, 5 Ho 3.29-3.42
Al2 0.2500 0.2928 0.1023  8 Ho 3.02-3.33
Al3 0.7500 0.7072 0.8977  8 Ho 3.02-3.33
Ho2 0.2500 0.9725 0.7110  3 Al 3.09-3.13, 5 Ho 3.29-3.42
Ho3 0.2500 0.3115 0.4268  5 Al 3.02-3.33, 2 Ho 3.35
Ho4 0.2500 0.8115 0.0732  5 Al 3.02-3.33, 2 Ho 3.35
Ho5 0.7500 0.1885 0.9268  5 Al 3.02-3.33, 2 Ho 3.35
Al4 0.7500 0.2072 0.6023  8 Ho 3.02-3.33
Ho6 0.7500 0.6885 0.5732  5 Al 3.02-3.33, 2 Ho 3.35
Ho7 0.7500 0.0275 0.2890  3 Al 3.09-3.13, 5 Ho 3.29-3.42
Ho8 0.2500 0.4725 0.7890  3 Al 3.09-3.13, 5 Ho 3.29-3.42

Properties
Spin magnetization: 0.05 μB/f.u.
SG: Pnma (62)
ρ: 7.94 g/cm3
ΔE_f: -0.95 eV/f.u.

(2)
This record from Alexandria via LeMat-Bulk describes a crystal of ScGaI3 relaxed with PBEsol. The functional is SCAN.

a b c (Å): 5.5560 5.5560 5.5560
angles (deg): 90.00 90.00 90.00
Closest atoms and distances in Å follow each position.
Sites, in units of the cell vectors:
I1 0.0000 0.0000 0.5000  2 Ga 2.78
I2 0.0000 0.5000 0.0000  2 Ga 2.78
I3 0.5000 0.0000 0.0000  2 Ga 2.78
Sc1 0.5000 0.5000 0.5000  12 I 3.93
Ga1 0.0000 0.0000 0.0000  6 I 2.78

Properties
Spin magnetization: 1.45 μB/f.u.
Total energy: -28.18 eV/atom
SG: Pm-3m (221)
ρ: 4.80 g/cm3

(3)
This record from Alexandria via LeMat-Bulk describes a crystal of BaCuSb2 relaxed with PBEsol. The functional is SCAN.

a b c (Å): 4.1287 5.7543 5.7111
angles (deg): 108.44 111.19 90.00
Closest atoms and distances in Å follow each position.
Sites, in units of the cell vectors:
Sb1 0.7215 0.1166 0.4430  2 Cu 2.61
Ba1 0.5100 0.4943 0.0200  1 Cu 3.23, 5 Sb 3.52-3.61
Sb2 0.9641 0.9561 0.9282  2 Cu 2.65
Cu1 0.3044 0.9331 0.6088  4 Sb 2.61-2.65

Properties
Spin magnetization: 0.00 μB/f.u.
Total energy: -32.73 eV/atom
SG: Cm (8)
ρ: 6.20 g/cm3